# 1
# TmLuAu (PBE-GGA, optimized geometry)
data_TmLuAu
_chemical_formula_sum 'Tm1 Lu1 Au1'
_symmetry_space_group_name_H-M 'P 1'
_symmetry_Int_Tables_number 1
_cell_length_a 8.312
_cell_length_b 8.312
_cell_length_c 8.312
_cell_angle_alpha 157.05
_cell_angle_beta 157.05
_cell_angle_gamma 32.67
loop_
_symmetry_equiv_pos_as_xyz
'x,y,z'
loop_
_atom_site_label
_atom_site_type_symbol
_atom_site_fract_x
_atom_site_fract_y
_atom_site_fract_z
_atom_site_occupancy
Tm1 Tm 0.000 0.000 0.000 1
Lu1 Lu 0.653 0.653 0.000 1
Au1 Au 0.826 0.826 0.000 1
# **Crystal system**: tetragonal
# **Spin magnetization**: 0.060 μB/f.u.
# **SG**: I4mm, No. 107
# **ΔH_f (0 K)**: 0.6 eV per formula unit
# **E**: -3.88 eV/atom

# 2
# TmLuAu (PBE-GGA, optimized geometry)
data_TmLuAu
_chemical_formula_sum 'Tm1 Lu1 Au1'
_symmetry_space_group_name_H-M 'P 1'
_symmetry_Int_Tables_number 1
_cell_length_a 4.885
_cell_length_b 4.885
_cell_length_c 4.885
_cell_angle_alpha 60.00
_cell_angle_beta 60.00
_cell_angle_gamma 60.00
loop_
_symmetry_equiv_pos_as_xyz
'x,y,z'
loop_
_atom_site_label
_atom_site_type_symbol
_atom_site_fract_x
_atom_site_fract_y
_atom_site_fract_z
_atom_site_occupancy
Tm1 Tm 0.000 0.000 0.000 1
Lu1 Lu 0.500 0.500 0.500 1
Au1 Au 0.250 0.250 0.250 1
# **Crystal system**: cubic
# **Spin magnetization**: 0.016 μB/f.u.
# **SG**: F-43m, No. 216
# **ΔH_f (0 K)**: -1.5 eV per formula unit
# **E**: -4.58 eV/atom

# 3
# TmLuAu2 (PBE-GGA, optimized geometry)
data_TmLuAu2
_chemical_formula_sum 'Tm1 Lu1 Au2'
_symmetry_space_group_name_H-M 'P 1'
_symmetry_Int_Tables_number 1
_cell_length_a 5.027
_cell_length_b 5.027
_cell_length_c 3.508
_cell_angle_alpha 90.00
_cell_angle_beta 90.00
_cell_angle_gamma 90.00
loop_
_symmetry_equiv_pos_as_xyz
'x,y,z'
loop_
_atom_site_label
_atom_site_type_symbol
_atom_site_fract_x
_atom_site_fract_y
_atom_site_fract_z
_atom_site_occupancy
Tm1 Tm 0.000 0.000 0.000 1
Lu1 Lu 0.500 0.500 0.000 1
Au1 Au 0.000 0.500 0.500 1
Au2 Au 0.500 0.000 0.500 1
# **Crystal system**: tetragonal
# **Spin magnetization**: 0.000 μB/f.u.
# **SG**: P4/mmm, No. 123
# **ΔH_f (0 K)**: -3.6 eV per formula unit
# **E**: -4.78 eV/atom